1.
Computed, not measured: CrCoSb2 after structural relaxation at the GGA-PBE level of DFT.

The value obtained for the density of states at the Fermi level is 3.27 states/eV/f.u. The uncorrected formation energy comes out at 0.26 eV/atom. The space-group type is C2/m (12). Its total energy is -5.981 eV/atom.

abc: 3.8483 3.8483 6.4255
angles: 108.78 108.78 61.65
With the nearest neighbours (Å) after each atom.
Atoms (fractional coordinates):
Cr  0.0000  0.0000  0.0000  6 Sb 2.78-2.81
Co  0.5000  0.5000  0.5000  6 Sb 2.59-2.60
Sb  0.2405  0.2405  0.7199  3 Co 2.59-2.60, 3 Cr 2.78-2.81
Sb  0.7595  0.7595  0.2801  3 Co 2.59-2.60, 3 Cr 2.78-2.81


2.
Computed, not measured: Te2Ir2S after structural relaxation at the GGA-PBE level of DFT.

The value obtained for the density of states at the Fermi level is 3.68 states/eV/f.u. The uncorrected formation energy comes out at 0.19 eV/atom. The space-group type is I4/mmm (139). The polymorph energy (0 for the lowest one) is 0 meV/atom. Its total energy is -5.439 eV/atom.

abc: 7.7474 7.7474 7.7474
angles: 150.80 150.80 41.77
With the nearest neighbours (Å) after each atom.
Atoms (fractional coordinates):
Te  0.1259  0.1259  0.0000  4 Ir 2.65
Te  0.8741  0.8741  0.0000  4 Ir 2.65
Ir  0.2500  0.7500  0.5000  4 Te 2.65, 4 Ir 2.76
Ir  0.7500  0.2500  0.5000  4 Te 2.65, 4 Ir 2.76
S  0.5000  0.5000  0.0000  8 Te 3.31


3.
Computed, not measured: Pr3YHo4 after structural relaxation at the GGA-PBE level of DFT.

The value obtained for the density of states at the Fermi level is 11.21 states/eV/f.u. The formation enthalpy at 0 K comes out at 0.02 eV/atom. The space-group type is Pmna (53). The polymorph energy (0 for the lowest one) is 0 meV/atom. Its total energy is -4.869 eV/atom.

abc: 10.1992 7.1997 7.1955
angles: 90.00 90.00 90.00
With the nearest neighbours (Å) after each atom.
Atoms (fractional coordinates):
Pr  0.0000  0.0000  0.0000  8 Ho 3.60, 4 Pr 3.61
Pr  0.2500  0.2516  0.2500  8 Ho 3.59-3.61, 2 Y 3.60, 2 Pr 3.61
Pr  0.2500  0.7484  0.7500  8 Ho 3.59-3.61, 2 Y 3.60, 2 Pr 3.61
Pr  0.5000  0.0000  0.5000  8 Ho 3.60, 4 Pr 3.61
Pr  0.7500  0.2516  0.2500  8 Ho 3.59-3.61, 2 Y 3.60, 2 Pr 3.61
Pr  0.7500  0.7484  0.7500  8 Ho 3.59-3.61, 2 Y 3.60, 2 Pr 3.61
Y  0.0000  0.5000  0.5000  4 Pr 3.60, 8 Ho 3.60
Y  0.5000  0.5000  0.0000  4 Pr 3.60, 8 Ho 3.60
Ho  0.0000  0.0000  0.5000  6 Pr 3.60-3.61, 2 Y 3.60, 4 Ho 3.60
Ho  0.0000  0.5000  0.0000  6 Pr 3.60, 2 Y 3.60, 4 Ho 3.60
Ho  0.2500  0.2501  0.7500  6 Pr 3.59-3.61, 4 Ho 3.60, 2 Y 3.60
Ho  0.2500  0.7499  0.2500  6 Pr 3.59-3.61, 4 Ho 3.60, 2 Y 3.60
Ho  0.5000  0.0000  0.0000  6 Pr 3.60-3.61, 2 Y 3.60, 4 Ho 3.60
Ho  0.5000  0.5000  0.5000  6 Pr 3.60, 2 Y 3.60, 4 Ho 3.60
Ho  0.7500  0.2501  0.7500  6 Pr 3.59-3.61, 4 Ho 3.60, 2 Y 3.60
Ho  0.7500  0.7499  0.2500  6 Pr 3.59-3.61, 4 Ho 3.60, 2 Y 3.60


4.
Computed, not measured: K3NiH after structural relaxation at the GGA-PBE level of DFT.

The value obtained for the density of states at the Fermi level is 3.16 states/eV/f.u. The space-group type is Pm-3m (221). The polymorph energy (0 for the lowest one) is 0 meV/atom. Its total energy is -2.128 eV/atom.

abc: 5.3427 5.3427 5.3427
angles: 90.00 90.00 90.00
With the nearest neighbours (Å) after each atom.
Atoms (fractional coordinates):
K  0.0000  0.0000  0.5000  2 H 2.67
K  0.0000  0.5000  0.0000  2 H 2.67
K  0.5000  0.0000  0.0000  2 H 2.67
Ni  0.5000  0.5000  0.5000  12 K 3.78
H  0.0000  0.0000  0.0000  6 K 2.67


5.
Computed, not measured: TaW2Au after structural relaxation at the GGA-PBE level of DFT.

The value obtained for the density of states at the Fermi level is 2.99 states/eV/f.u. The formation enthalpy at 0 K comes out at 0.20 eV/atom. The space-group type is Pm (6). The polymorph energy (0 for the lowest one) is 105 meV/atom. Its total energy is -10.057 eV/atom.

abc: 2.7908 4.2980 5.7675
angles: 90.00 98.16 90.00
With the nearest neighbours (Å) after each atom.
Atoms (fractional coordinates):
Ta  0.0000  0.0000  0.0000  6 W 2.78-3.09, 2 Ta 2.79, 4 Au 2.94-2.97
W  0.4643  0.5000  0.2500  4 W 2.65-2.79, 2 Ta 2.80, 2 Au 2.85-2.92
W  0.8635  0.0000  0.4682  4 W 2.65-2.79, 1 Ta 2.78
Au  0.4340  0.5000  0.7423  2 Au 2.79, 6 W 2.85-3.02, 4 Ta 2.94-2.97


6.
Computed, not measured: Sr6In2O after structural relaxation at the GGA-PBE level of DFT.

The value obtained for the density of states at the Fermi level is 9.58 states/eV/f.u. The uncorrected formation energy comes out at -0.78 eV/atom. The space-group type is Fm-3m (225). Its total energy is -3.061 eV/atom.

abc: 7.5871 7.5871 7.5871
angles: 60.00 60.00 60.00
With the nearest neighbours (Å) after each atom.
Atoms (fractional coordinates):
Sr  0.2412  0.2412  0.7588  1 O 2.59
Sr  0.2412  0.7588  0.2412  1 O 2.59
Sr  0.2412  0.7588  0.7588  1 O 2.59
Sr  0.7588  0.2412  0.2412  1 O 2.59
Sr  0.7588  0.2412  0.7588  1 O 2.59
Sr  0.7588  0.7588  0.2412  1 O 2.59
In  0.2500  0.2500  0.2500  12 Sr 3.79
In  0.7500  0.7500  0.7500  12 Sr 3.79
O  0.0000  0.0000  0.0000  6 Sr 2.59


7.
Computed, not measured: RbCaFe3 after structural relaxation at the GGA-PBE level of DFT.

The value obtained for the density of states at the Fermi level is 15.00 states/eV/f.u. The formation enthalpy at 0 K comes out at 1.79 eV/atom. The space-group type is Pm-3m (221). The polymorph energy (0 for the lowest one) is 0 meV/atom. Its total energy is -3.880 eV/atom.

abc: 5.3829 5.3829 5.3829
angles: 90.00 90.00 90.00
With the nearest neighbours (Å) after each atom.
Atoms (fractional coordinates):
Rb  0.0000  0.0000  0.0000  12 Fe 3.81
Ca  0.5000  0.5000  0.5000  6 Fe 2.69
Fe  0.0000  0.5000  0.5000  2 Ca 2.69
Fe  0.5000  0.0000  0.5000  2 Ca 2.69
Fe  0.5000  0.5000  0.0000  2 Ca 2.69


8.
Computed, not measured: Ba2CaSi after structural relaxation at the GGA-PBE level of DFT.

The value obtained for the density of states at the Fermi level is 4.89 states/eV/f.u. The uncorrected formation energy comes out at -0.09 eV/atom. The space-group type is P4mm (99). The polymorph energy (0 for the lowest one) is 51 meV/atom. Its total energy is -2.905 eV/atom.

abc: 3.9614 3.9614 10.4714
angles: 90.00 90.00 90.00
With the nearest neighbours (Å) after each atom.
Atoms (fractional coordinates):
Ba  0.0000  0.0000  0.0000  1 Ca 3.41, 4 Si 3.45
Ba  0.5000  0.5000  0.3672  4 Ba 3.96, 4 Ca 4.26
Ca  0.0000  0.0000  0.6742  4 Si 3.13, 1 Ba 3.41
Si  0.5000  0.5000  0.8076  4 Ca 3.13, 4 Ba 3.45


9.
Computed, not measured: LaZnIn2Co after structural relaxation at the GGA-PBE level of DFT.

The value obtained for the density of states at the Fermi level is 2.19 states/eV/f.u. The formation enthalpy at 0 K comes out at -0.22 eV/atom. The space-group type is P4/mmm (123). The polymorph energy (0 for the lowest one) is 0 meV/atom. Its total energy is -3.978 eV/atom.

abc: 4.9067 4.9067 4.7473
angles: 90.00 90.00 90.00
With the nearest neighbours (Å) after each atom.
Atoms (fractional coordinates):
La  0.0000  0.0000  0.0000  8 In 3.41, 4 Zn 3.47
Zn  0.5000  0.5000  0.0000  2 Co 2.37
In  0.0000  0.5000  0.5000  2 Co 2.45
In  0.5000  0.0000  0.5000  2 Co 2.45
Co  0.5000  0.5000  0.5000  2 Zn 2.37, 4 In 2.45


10.
Computed, not measured: LiCoHg3 after structural relaxation at the GGA-PBE level of DFT.

The value obtained for the density of states at the Fermi level is 4.71 states/eV/f.u. The formation enthalpy at 0 K comes out at 0.67 eV/atom. The space-group type is Pm-3m (221). The polymorph energy (0 for the lowest one) is 474 meV/atom. Its total energy is -1.312 eV/atom.

abc: 4.8089 4.8089 4.8089
angles: 90.00 90.00 90.00
With the nearest neighbours (Å) after each atom.
Atoms (fractional coordinates):
Li  0.0000  0.0000  0.0000  6 Hg 2.40
Co  0.5000  0.5000  0.5000  12 Hg 3.40
Hg  0.0000  0.0000  0.5000  2 Li 2.40
Hg  0.0000  0.5000  0.0000  2 Li 2.40
Hg  0.5000  0.0000  0.0000  2 Li 2.40


11.
Computed, not measured: Nb2VSb2 after structural relaxation at the GGA-PBE level of DFT.

The value obtained for the density of states at the Fermi level is 4.56 states/eV/f.u. The uncorrected formation energy comes out at -0.02 eV/atom. The space-group type is Cmc2_1 (36). Its total energy is -7.523 eV/atom.

abc: 7.6058 7.6058 5.7292
angles: 90.00 90.00 144.31
With the nearest neighbours (Å) after each atom.
Atoms (fractional coordinates):
Nb  0.0080  0.9920  0.5000  3 Nb 2.87-3.01, 2 V 2.92, 6 Sb 2.93-3.05
Nb  0.1988  0.8012  0.2892  6 Sb 2.85-2.92, 1 V 2.90, 1 Nb 3.01
Nb  0.8012  0.1988  0.7892  6 Sb 2.85-2.92, 1 V 2.90, 1 Nb 3.01
Nb  0.9920  0.0080  0.0000  3 Nb 2.87-3.01, 2 V 2.92, 6 Sb 2.93-3.05
V  0.3948  0.6052  0.1821  4 Sb 2.66-2.72, 3 Nb 2.90-2.92
V  0.6052  0.3948  0.6821  4 Sb 2.66-2.72, 3 Nb 2.90-2.92
Sb  0.1825  0.8175  0.7937  2 V 2.66, 4 Nb 2.85-2.90
Sb  0.4188  0.5812  0.7120  2 V 2.70-2.72, 4 Nb 2.92-2.93
Sb  0.5812  0.4188  0.2120  2 V 2.70-2.72, 4 Nb 2.92-2.93
Sb  0.8175  0.1825  0.2937  2 V 2.66, 4 Nb 2.85-2.90


12.
Computed, not measured: Mn5Pb3 after structural relaxation at the GGA-PBE level of DFT.

The value obtained for the density of states at the Fermi level is 7.36 states/eV/f.u. The formation enthalpy at 0 K comes out at 0.52 eV/atom. The space-group type is Cmmm (65). The polymorph energy (0 for the lowest one) is 0 meV/atom. Its total energy is -6.605 eV/atom.

abc: 5.8809 5.8809 4.6032
angles: 90.00 90.00 106.65
With the nearest neighbours (Å) after each atom.
Atoms (fractional coordinates):
Mn  0.0000  0.0000  0.0000  8 Mn 2.94-3.08, 4 Pb 3.00
Mn  0.0000  0.5000  0.0000  6 Pb 2.93-2.94, 2 Mn 2.94
Mn  0.2920  0.2920  0.5000  4 Pb 2.73-2.81, 1 Mn 2.92
Mn  0.5000  0.0000  0.0000  6 Pb 2.93-2.94, 2 Mn 2.94
Mn  0.7080  0.7080  0.5000  4 Pb 2.73-2.81, 1 Mn 2.92
Pb  0.2044  0.7956  0.5000  10 Mn 2.81-3.15
Pb  0.5000  0.5000  0.0000  8 Mn 2.73-2.94
Pb  0.7956  0.2044  0.5000  10 Mn 2.81-3.15